Entry 1:
VASP calculation (PBE) on crystalline NpSbPd2 at its relaxed geometry.

For the uncorrected formation energy, the calculation gives -0.392 eV/atom. As for the total energy: -7.254 eV/atom. As for the magnetic moment: 3.91 μB per formula unit.

Cell lengths 5.133, 4.758, 6.712 Å; angles 90.00, 95.52, 90.00 degrees
Atoms (fractional coordinates):
Np: 0.189 0.250 0.233
Np: 0.811 0.750 0.767
Sb: 0.239 0.250 0.728
Sb: 0.761 0.750 0.272
Pd: 0.315 0.750 0.491
Pd: 0.337 0.750 0.967
Pd: 0.663 0.250 0.033
Pd: 0.685 0.250 0.509

***

Entry 2:
VASP calculation (PBE) on crystalline BaSiAs2Br at its relaxed geometry.

For the uncorrected formation energy, the calculation gives -0.467 eV/atom. The distance to the lowest polymorph of the same formula is 0 meV per atom. As for the total energy: -4.131 eV/atom. As for the magnetic moment: 0.00 μB per formula unit.

Cell lengths 4.839, 4.839, 5.893 Å; angles 90.00, 90.00, 90.00 degrees
Atoms (fractional coordinates):
Ba: 0.000 0.000 0.000
Si: 0.500 0.500 0.500
As: 0.000 0.500 0.500
As: 0.500 0.000 0.500
Br: 0.500 0.500 0.000

***

Entry 3:
VASP calculation (PBE) on crystalline GdDyHgBi at its relaxed geometry.

As for the total energy: -6.244 eV/atom. The value obtained for the energy relative to the elements is -527.5 meV/atom. As for the magnetic moment: 7.77 μB per formula unit.

Cell lengths 5.402, 5.402, 5.402 Å; angles 60.00, 60.00, 60.00 degrees
Atoms (fractional coordinates):
Gd: 0.000 0.000 0.000
Dy: 0.500 0.500 0.500
Hg: 0.250 0.250 0.250
Bi: 0.750 0.750 0.750

***

Entry 4:
VASP calculation (PBE) on crystalline NdGdHoCd at its relaxed geometry.

As for the total energy: -6.130 eV/atom. The value obtained for the energy relative to the elements is -44.6 meV/atom. As for the magnetic moment: 7.78 μB per formula unit.

Cell lengths 5.514, 5.514, 5.514 Å; angles 60.00, 60.00, 60.00 degrees
Atoms (fractional coordinates):
Nd: 0.000 0.000 0.000
Gd: 0.500 0.500 0.500
Ho: 0.750 0.750 0.750
Cd: 0.250 0.250 0.250

***

Entry 5:
VASP calculation (PBE) on crystalline HgSbTe3 at its relaxed geometry.

For the uncorrected formation energy, the calculation gives 0.000 eV/atom. The distance to the lowest polymorph of the same formula is 0 meV per atom. As for the total energy: -2.770 eV/atom. As for the magnetic moment: 0.00 μB per formula unit.

Cell lengths 10.738, 4.250, 14.354 Å; angles 90.00, 90.00, 90.00 degrees
Atoms (fractional coordinates):
Hg: 0.032 0.250 0.113
Hg: 0.468 0.750 0.613
Hg: 0.532 0.250 0.387
Hg: 0.968 0.750 0.887
Sb: 0.167 0.250 0.536
Sb: 0.333 0.750 0.036
Sb: 0.667 0.250 0.964
Sb: 0.833 0.750 0.464
Te: 0.022 0.750 0.631
Te: 0.162 0.250 0.927
Te: 0.170 0.750 0.210
Te: 0.330 0.250 0.710
Te: 0.338 0.750 0.427
Te: 0.478 0.250 0.131
Te: 0.522 0.750 0.869
Te: 0.662 0.250 0.573
Te: 0.670 0.750 0.290
Te: 0.830 0.250 0.790
Te: 0.838 0.750 0.073
Te: 0.978 0.250 0.369

***

Entry 6:
VASP calculation (PBE) on crystalline Ti3TeF at its relaxed geometry.

For the uncorrected formation energy, the calculation gives -0.631 eV/atom. The distance to the lowest polymorph of the same formula is 0 meV per atom. As for the total energy: -6.371 eV/atom. As for the magnetic moment: 0.66 μB per formula unit.

Cell lengths 4.258, 4.258, 4.258 Å; angles 90.00, 90.00, 90.00 degrees
Atoms (fractional coordinates):
Ti: 0.000 0.000 0.500
Ti: 0.000 0.500 0.000
Ti: 0.500 0.000 0.000
Te: 0.500 0.500 0.500
F: 0.000 0.000 0.000

***

Entry 7:
VASP calculation (PBE) on crystalline BaAgMo2 at its relaxed geometry.

The distance to the lowest polymorph of the same formula is 536 meV per atom. As for the total energy: -5.547 eV/atom. The value obtained for the energy relative to the elements is 1061.6 meV/atom. As for the magnetic moment: 0.00 μB per formula unit.

Cell lengths 6.462, 6.462, 6.462 Å; angles 154.15, 132.10, 55.22 degrees
Atoms (fractional coordinates):
Ba: 0.000 0.000 0.000
Ag: 0.500 0.500 0.000
Mo: 0.275 0.775 0.500
Mo: 0.725 0.225 0.500

***

> Among the records above, which one has the highest magnetic moment?

NdGdHoCd